[1]
Computed, not measured: KP2Au at its PBEsol-relaxed geometry at the meta-GGA SCAN level of DFT.

Cell: 6.7654 6.7654 6.7654 Å, 90.00 90.00 90.00°
Space group F-43m (No. 216)
Inequivalent atoms, fractional coordinates:
K 0.0000 0.0000 0.0000 [4 per cell]
P 0.0000 0.0000 0.5000 [4 per cell]
P 0.2500 0.2500 0.7500 [4 per cell]
Au 0.2500 0.2500 0.2500 [4 per cell]

Summary:
For the formation energy from the elements, the calculation gives 236 kJ/mol of formula units. The calculation puts the spin magnetization at 0.0 μB/cell. The energy above the most stable polymorph in this dataset is 1041 meV per atom.

---

[2]
Computed, not measured: RbNb2TlIn at its PBEsol-relaxed geometry at the meta-GGA SCAN level of DFT.

Cell: 5.4750 5.4750 5.6923 Å, 90.00 90.00 90.00°
Space group P4/mmm (No. 123)
Inequivalent atoms, fractional coordinates:
Rb 0.0000 0.0000 0.0000 [1 per cell]
Nb 0.0000 0.5000 0.5000 [2 per cell]
Tl 0.5000 0.5000 0.5000 [1 per cell]
In 0.5000 0.5000 0.0000 [1 per cell]

Summary:
For the formation energy from the elements, the calculation gives 672 kJ/mol of formula units. The calculation puts the spin magnetization at 7.7 μB/cell.

---

[3]
Computed, not measured: CsGa2Au2 at its PBEsol-relaxed geometry at the meta-GGA SCAN level of DFT.

Cell: 4.7560 4.7560 12.6744 Å, 90.00 90.00 90.00°
Space group I4/mmm (No. 139)
Inequivalent atoms, fractional coordinates:
Cs 0.0000 0.0000 0.0000 [2 per cell]
Ga 0.0000 0.5000 0.2500 [4 per cell]
Au 0.0000 0.0000 0.3200 [4 per cell]

Summary:
For the formation energy from the elements, the calculation gives -173 kJ/mol of formula units. The calculation puts the spin magnetization at 0.0 μB/cell.

---

[4]
Computed, not measured: LiSi2P at its PBEsol-relaxed geometry at the meta-GGA SCAN level of DFT.

Cell: 4.4769 2.7454 4.8245 Å, 90.00 110.86 90.00°
Space group P2/m (No. 10)
Inequivalent atoms, fractional coordinates:
Li 0.0000 0.0000 0.0000 [1 per cell]
Si 0.0000 0.5000 0.5000 [1 per cell]
Si 0.5000 0.0000 0.5000 [1 per cell]
P 0.5000 0.5000 0.0000 [1 per cell]

Summary:
The calculation puts the uncorrected formation energy at 0.259 eV/atom. The calculation puts the spin magnetization at 0.0 μB/cell.

---

[5]
Computed, not measured: EuGa3Ag at its PBEsol-relaxed geometry at the meta-GGA SCAN level of DFT.

Cell: 4.2433 4.2433 10.8480 Å, 90.00 90.00 90.00°
Space group I-4m2 (No. 119)
Inequivalent atoms, fractional coordinates:
Eu 0.0000 0.0000 0.0000 [2 per cell]
Ga 0.0000 0.0000 0.3872 [4 per cell]
Ga 0.0000 0.5000 0.7500 [2 per cell]
Ag 0.0000 0.5000 0.2500 [2 per cell]

Summary:
For the formation energy from the elements, the calculation gives -235 kJ/mol of formula units. The calculation puts the spin magnetization at 14.1 μB/cell.

---

[6]
Computed, not measured: MgIn2 at its PBEsol-relaxed geometry at the meta-GGA SCAN level of DFT.

Cell: 5.7442 5.7442 15.1035 Å, 90.00 90.00 120.00°
Space group R32 (No. 155, hexagonal axes)
Inequivalent atoms, fractional coordinates:
Mg 0.0000 0.0000 0.1697 [6 per cell]
In 0.0000 0.0000 0.5000 [3 per cell]
In 0.0000 0.6746 0.0000 [9 per cell]

Summary:
For the formation energy from the elements, the calculation gives -18 kJ/mol of formula units. The calculation puts the spin magnetization at 0.0 μB/cell.

---

[7]
Computed, not measured: BaSm2CoO5 at its PBEsol-relaxed geometry at the meta-GGA SCAN level of DFT.

Cell: 3.6989 5.8395 11.6312 Å, 90.00 90.00 90.00°
Space group Immm (No. 71)
Inequivalent atoms, fractional coordinates:
Ba 0.0000 0.0000 0.0000 [2 per cell]
Sm 0.0000 0.5000 0.2029 [4 per cell]
Co 0.0000 0.0000 0.5000 [2 per cell]
O 0.0000 0.2420 0.3538 [8 per cell]
O 0.0000 0.5000 0.0000 [2 per cell]

Summary:
The calculation puts the uncorrected formation energy at -3.000 eV/atom. The calculation puts the spin magnetization at 4.2 μB/cell.

---

[8]
Computed, not measured: VPH6C2N3O7 at its PBEsol-relaxed geometry at the meta-GGA SCAN level of DFT.

Cell: 6.1761 8.7479 8.8812 Å, 64.03 71.11 79.69°
Space group P-1 (No. 2)
Inequivalent atoms, fractional coordinates:
V 0.1688 0.0408 0.1538 [2 per cell]
P 0.3318 0.8685 0.8957 [2 per cell]
H 0.1519 0.5628 0.5574 [2 per cell]
H 0.2326 0.3647 0.7053 [2 per cell]
H 0.2610 0.6272 0.2545 [2 per cell]
H 0.4211 0.4703 0.1853 [2 per cell]
H 0.4526 0.7630 0.6407 [2 per cell]
H 0.4742 0.1684 0.5907 [2 per cell]
C 0.0071 0.9027 0.5358 [2 per cell]
C 0.3382 0.4012 0.4472 [2 per cell]
N 0.2243 0.4426 0.5814 [2 per cell]
N 0.3350 0.5071 0.2852 [2 per cell]
N 0.4544 0.2524 0.4713 [2 per cell]
O 0.0644 0.1770 0.2998 [2 per cell]
O 0.0901 0.8365 0.4283 [2 per cell]
O 0.1450 0.9787 0.8034 [2 per cell]
O 0.2194 0.1990 0.9698 [2 per cell]
O 0.2475 0.8588 0.0877 [2 per cell]
O 0.3778 0.6971 0.8919 [2 per cell]
O 0.4549 0.0163 0.2036 [2 per cell]

Summary:
The calculation puts the spin magnetization at 0.1 μB/cell. Its raw total energy is -8.27 eV per atom.

---

[9]
Computed, not measured: Li3Co2RuO6 at its PBEsol-relaxed geometry at the meta-GGA SCAN level of DFT.

Cell: 4.9894 8.6309 5.1558 Å, 90.00 108.88 90.00°
Space group C2/m (No. 12)
Inequivalent atoms, fractional coordinates:
Li 0.0000 0.0000 0.0000 [2 per cell]
Li 0.0000 0.3301 0.0000 [4 per cell]
Co 0.0000 0.1704 0.5000 [4 per cell]
Ru 0.0000 0.5000 0.5000 [2 per cell]
O 0.2437 0.3373 0.7416 [8 per cell]
O 0.2489 0.5000 0.2666 [4 per cell]

Summary:
The calculation puts the uncorrected formation energy at -1.599 eV/atom. The calculation puts the spin magnetization at 18.0 μB/cell.

---

[10]
Computed, not measured: CrSIO2 at its PBEsol-relaxed geometry at the meta-GGA SCAN level of DFT.

Cell: 3.6808 3.6808 5.8000 Å, 90.00 90.00 90.00°
Space group P4/mmm (No. 123)
Inequivalent atoms, fractional coordinates:
Cr 0.0000 0.0000 0.0000 [1 per cell]
S 0.5000 0.5000 0.5000 [1 per cell]
I 0.0000 0.0000 0.5000 [1 per cell]
O 0.0000 0.5000 0.0000 [2 per cell]

Summary:
The calculation puts the uncorrected formation energy at -0.611 eV/atom. The calculation puts the spin magnetization at 1.7 μB/cell.

---

[11]
Computed, not measured: YMn2Hg at its PBEsol-relaxed geometry at the meta-GGA SCAN level of DFT.

Cell: 3.2695 3.5331 6.5205 Å, 90.00 90.00 90.00°
Space group Pmm2 (No. 25)
Inequivalent atoms, fractional coordinates:
Y 0.0000 0.0000 0.0000 [1 per cell]
Mn 0.0000 0.0000 0.5473 [1 per cell]
Mn 0.5000 0.5000 0.7318 [1 per cell]
Hg 0.5000 0.5000 0.3126 [1 per cell]

Summary:
For the formation energy from the elements, the calculation gives -66 kJ/mol of formula units. The calculation puts the spin magnetization at 7.3 μB/cell.

---

[12]
Computed, not measured: GeHS2N at its PBEsol-relaxed geometry at the meta-GGA SCAN level of DFT.

Cell: 4.8109 4.8109 2.6447 Å, 90.00 90.00 90.00°
Space group P4/mmm (No. 123)
Inequivalent atoms, fractional coordinates:
Ge 0.0000 0.0000 0.0000 [1 per cell]
H 0.5000 0.5000 0.5000 [1 per cell]
S 0.0000 0.5000 0.5000 [2 per cell]
N 0.5000 0.5000 0.0000 [1 per cell]

Summary:
The calculation puts the spin magnetization at 1.1 μB/cell. Its raw total energy is -9.04 eV per atom.